No. 1
4
Lattice="-1.184 -0.020 3.130 0.070 -2.821 1.798 4.199 0.273 3.379" Properties=species:S:1:pos:R:3 comment="AgH2Au (GGA-PBE, relaxed)" polymorph_energy_mev_per_atom=0 pbc="T T T"
H 2.660 -0.138 2.794
H 0.426 -2.430 5.512
Au 0.000 0.000 0.000
Ag 1.543 -1.284 4.153

***

No. 2
5
Lattice="5.135 0.000 0.000 0.000 5.135 0.000 0.000 0.000 3.425" Properties=species:S:1:pos:R:3 comment="AgHg2HAu (GGA-PBE, relaxed)" polymorph_energy_mev_per_atom=24 pbc="T T T"
H 0.000 0.000 0.000
Au 2.568 2.568 1.713
Hg 0.000 2.568 0.000
Hg 2.568 0.000 0.000
Ag 0.000 0.000 1.713

***

No. 3
5
Lattice="-2.851 -0.966 -4.157 -3.746 -1.830 2.994 -1.389 3.188 0.211" Properties=species:S:1:pos:R:3 comment="AgHg2HAu (GGA-PBE, relaxed)" polymorph_energy_mev_per_atom=0 pbc="T T T"
H 0.000 0.000 0.000
Au -0.694 1.594 0.106
Hg -1.873 -0.915 1.497
Hg -1.426 -0.483 -2.079
Ag -3.993 0.196 -0.476

***

No. 4
5
Lattice="-2.268 1.413 -3.042 2.623 -1.543 -2.672 -2.629 -4.359 -0.064" Properties=species:S:1:pos:R:3 comment="InAg2HAu (GGA-PBE, relaxed)" polymorph_energy_mev_per_atom=0 pbc="T T T"
H 0.000 0.000 0.000
Au -1.137 -2.244 -2.889
Ag 1.311 -0.771 -1.336
Ag -1.134 0.706 -1.521
In -1.315 -2.180 -0.032

***

No. 5
5
Lattice="4.184 0.000 0.000 0.000 4.184 0.000 0.000 0.000 4.563" Properties=species:S:1:pos:R:3 comment="InAg2HAu (GGA-PBE, relaxed)" polymorph_energy_mev_per_atom=32 pbc="T T T"
H 0.000 0.000 0.000
Au 0.000 0.000 2.281
Ag 0.000 2.092 0.000
Ag 2.092 0.000 0.000
In 2.092 2.092 2.281

***

No. 6
10
Lattice="4.999 0.000 0.001 0.000 4.998 0.002 2.500 2.500 3.922" Properties=species:S:1:pos:R:3 comment="Ag2H6IrAu (GGA-PBE, relaxed)" total_energy_ev_per_atom=-3.5746 pbc="T T T"
Ag 4.999 2.500 1.961
Ag 2.500 4.999 1.963
H 2.501 2.501 2.220
H 6.297 6.294 3.924
H 1.206 3.797 0.002
H 6.294 3.702 3.923
H 1.202 1.205 0.001
H 4.998 4.998 1.704
Ir 0.000 0.000 0.000
Au 2.499 2.499 0.001

***

No. 7
5
Lattice="5.716 0.000 0.000 0.000 5.716 0.000 0.000 0.000 3.888" Properties=species:S:1:pos:R:3 comment="K2AgHAu (GGA-PBE, relaxed)" total_energy_ev_per_atom=-2.4201 pbc="T T T"
H 0.000 0.000 0.000
K 0.000 2.858 0.000
K 2.858 0.000 0.000
Au 2.858 2.858 1.944
Ag 0.000 0.000 1.944

***

No. 8
5
Lattice="-2.559 0.921 5.200 -5.179 -1.569 -2.270 0.662 -3.573 0.958" Properties=species:S:1:pos:R:3 comment="K2AgHAu (GGA-PBE, relaxed)" total_energy_ev_per_atom=-2.4202 pbc="T T T"
H 0.000 0.000 0.000
K -2.589 -0.785 -1.135
K -1.279 0.460 2.600
Au 0.331 -1.787 0.479
Ag -3.537 -2.111 1.944

***

No. 9
5
Lattice="-0.503 -2.926 4.298 -3.445 -3.046 -2.477 3.044 -2.403 -1.280" Properties=species:S:1:pos:R:3 comment="La2AgHAu (GGA-PBE, relaxed)" polymorph_energy_mev_per_atom=46 pbc="T T T"
H 0.000 0.000 0.000
Au 1.522 -1.201 -0.640
Ag -0.452 -4.187 0.271
La -1.723 -1.523 -1.238
La -0.251 -1.463 2.149

***

No. 10
5
Lattice="5.173 0.000 0.000 0.000 5.173 0.000 0.000 0.000 4.101" Properties=species:S:1:pos:R:3 comment="La2AgHAu (GGA-PBE, relaxed)" polymorph_energy_mev_per_atom=0 pbc="T T T"
H 0.000 0.000 0.000
Au 2.587 2.587 2.050
Ag 0.000 0.000 2.050
La 0.000 2.587 0.000
La 2.587 0.000 0.000

***

No. 11
5
Lattice="4.289 0.000 0.000 0.000 4.289 0.000 0.000 0.000 3.937" Properties=species:S:1:pos:R:3 comment="LiAg2HAu (GGA-PBE, relaxed)" polymorph_energy_mev_per_atom=102 pbc="T T T"
H 0.000 0.000 0.000
Au 0.000 0.000 1.969
Ag 0.000 2.144 0.000
Ag 2.144 0.000 0.000
Li 2.144 2.144 1.969

***

No. 12
5
Lattice="-1.665 -3.166 -2.092 -0.212 -2.204 3.503 -3.507 1.402 0.670" Properties=species:S:1:pos:R:3 comment="Li2AgHAu (GGA-PBE, relaxed)" polymorph_energy_mev_per_atom=0 pbc="T T T"
H 0.000 0.000 0.000
Au -2.692 -1.984 1.040
Ag -1.754 0.701 0.335
Li -0.106 -1.102 1.751
Li -0.833 -1.583 -1.046

***

no.,M_tot (μB/atom)
1,0.0000
2,0.0000
3,0.0000
4,0.0000
5,0.0000
6,0.0000
7,0.0000
8,0.0000
9,0.0560
10,0.0681
11,0.0000
12,0.0000